(1)
# Sn3RuO

A relaxed structure of Sn3RuO (PBE-GGA, Alexandria via LeMat-Bulk).

N(E_F): 0.00 states/eV per cell
Uncorrected formation energy: 0.20 eV/atom
Offset from the most stable computed form: 41 meV per atom

CIF file:
```
data_Sn3RuO
_cell_length_a 5.174
_cell_length_b 5.174
_cell_length_c 5.174
_cell_angle_alpha 90.00
_cell_angle_beta 90.00
_cell_angle_gamma 90.00
_space_group_name_H-M_alt 'P m -3 m'
_space_group_IT_number 221
_space_group_name_Hall '-P 4 2 3'
loop_
_atom_site_label
_atom_site_type_symbol
_atom_site_fract_x
_atom_site_fract_y
_atom_site_fract_z
_atom_site_occupancy
Sn1 Sn 0.000 0.000 0.500 1
Ru1 Ru 0.000 0.000 0.000 1
O1 O 0.500 0.500 0.500 1
```

---

(2)
# B2H2Rh5

A relaxed structure of B2H2Rh5 (PBE-GGA, Alexandria via LeMat-Bulk).

N(E_F): 5.38 states/eV per cell

CIF file:
```
data_B2H2Rh5
_cell_length_a 4.251
_cell_length_b 4.890
_cell_length_c 4.936
_cell_angle_alpha 70.96
_cell_angle_beta 73.43
_cell_angle_gamma 80.50
_space_group_name_H-M_alt 'P -1'
_space_group_IT_number 2
loop_
_space_group_symop_operation_xyz
'x,y,z'
'-x,-y,-z'
loop_
_atom_site_label
_atom_site_type_symbol
_atom_site_fract_x
_atom_site_fract_y
_atom_site_fract_z
_atom_site_occupancy
B1 B 0.138 0.373 0.112 1
H1 H 0.373 0.850 0.274 1
Rh1 Rh 0.000 0.000 0.500 1
Rh2 Rh 0.225 0.389 0.665 1
Rh3 Rh 0.378 0.797 0.915 1
```

---

(3)
# Ce2AsRh

A relaxed structure of Ce2AsRh (PBE-GGA, Alexandria via LeMat-Bulk).

N(E_F): 24.65 states/eV per cell
E_form: -0.850 eV per atom
Offset from the most stable computed form: 96 meV per atom

CIF file:
```
data_Ce2AsRh
_cell_length_a 3.9759
_cell_length_b 3.9759
_cell_length_c 21.9074
_cell_angle_alpha 90.00
_cell_angle_beta 90.00
_cell_angle_gamma 120.00
_space_group_name_H-M_alt 'R 3 m'
_space_group_IT_number 160
_space_group_name_Hall 'R 3 -2"'
loop_
_atom_site_label
_atom_site_type_symbol
_atom_site_fract_x
_atom_site_fract_y
_atom_site_fract_z
_atom_site_occupancy
Ce1 Ce 0.0000 0.0000 0.0000 1
Ce2 Ce 0.0000 0.0000 0.1638 1
As1 As 0.0000 0.0000 0.5820 1
Rh1 Rh 0.0000 0.0000 0.4132 1
```

---

(4)
# MnAg2Mo

A relaxed structure of MnAg2Mo (PBE-GGA, Alexandria via LeMat-Bulk).

N(E_F): 24.89 states/eV per cell
E_form: 1.037 eV per atom
Offset from the most stable computed form: 740 meV per atom

CIF file:
```
data_MnAg2Mo
_cell_length_a 6.306
_cell_length_b 6.306
_cell_length_c 6.306
_cell_angle_alpha 90.00
_cell_angle_beta 90.00
_cell_angle_gamma 90.00
_space_group_name_H-M_alt 'F m -3 m'
_space_group_IT_number 225
_space_group_name_Hall '-F 4 2 3'
loop_
_atom_site_label
_atom_site_type_symbol
_atom_site_fract_x
_atom_site_fract_y
_atom_site_fract_z
_atom_site_occupancy
Mn1 Mn 0.000 0.000 0.000 1
Ag1 Ag 0.250 0.250 0.250 1
Mo1 Mo 0.000 0.000 0.500 1
```

---

(5)
# Zr2TaMn

A relaxed structure of Zr2TaMn (PBE-GGA, Alexandria via LeMat-Bulk).

N(E_F): 4.71 states/eV per cell
E_form: -0.015 eV per atom
Offset from the most stable computed form: 0 meV per atom

CIF file:
```
data_Zr2TaMn
_cell_length_a 3.154
_cell_length_b 3.154
_cell_length_c 7.442
_cell_angle_alpha 90.00
_cell_angle_beta 90.00
_cell_angle_gamma 90.00
_space_group_name_H-M_alt 'P 4 m m'
_space_group_IT_number 99
loop_
_space_group_symop_operation_xyz
'x,y,z'
'-y,x,z'
'-x,-y,z'
'y,-x,z'
'-x,y,z'
'y,x,z'
'x,-y,z'
'-y,-x,z'
loop_
_atom_site_label
_atom_site_type_symbol
_atom_site_fract_x
_atom_site_fract_y
_atom_site_fract_z
_atom_site_occupancy
Zr1 Zr 0.000 0.000 0.000 1
Zr2 Zr 0.500 0.500 0.307 1
Ta1 Ta 0.500 0.500 0.720 1
Mn1 Mn 0.000 0.000 0.537 1
```

---

(6)
# La2HoP

A relaxed structure of La2HoP (PBE-GGA, Alexandria via LeMat-Bulk).

N(E_F): 14.90 states/eV per cell
E_form: -0.484 eV per atom

CIF file:
```
data_La2HoP
_cell_length_a 3.8866
_cell_length_b 3.8866
_cell_length_c 31.2922
_cell_angle_alpha 90.00
_cell_angle_beta 90.00
_cell_angle_gamma 120.00
_space_group_name_H-M_alt 'R -3 m'
_space_group_IT_number 166
_space_group_name_Hall '-R 3 2"'
loop_
_atom_site_label
_atom_site_type_symbol
_atom_site_fract_x
_atom_site_fract_y
_atom_site_fract_z
_atom_site_occupancy
La1 La 0.0000 0.0000 0.1108 1
Ho1 Ho 0.0000 0.0000 0.0000 1
P1 P 0.0000 0.0000 0.5000 1
```

---

(7)
# Ho2ZnCu4Ge3

A relaxed structure of Ho2ZnCu4Ge3 (PBE-GGA, Alexandria via LeMat-Bulk).

N(E_F): 3.59 states/eV per cell
E_form: -0.461 eV per atom

CIF file:
```
data_Ho2ZnCu4Ge3
_cell_length_a 4.044
_cell_length_b 4.044
_cell_length_c 10.296
_cell_angle_alpha 90.00
_cell_angle_beta 90.00
_cell_angle_gamma 90.00
_space_group_name_H-M_alt 'P -4 m 2'
_space_group_IT_number 115
loop_
_space_group_symop_operation_xyz
'x,y,z'
'y,-x,-z'
'-x,-y,z'
'-y,x,-z'
'-x,y,z'
'-y,-x,-z'
'x,-y,z'
'y,x,-z'
loop_
_atom_site_label
_atom_site_type_symbol
_atom_site_fract_x
_atom_site_fract_y
_atom_site_fract_z
_atom_site_occupancy
Ho1 Ho 0.000 0.500 0.243 1
Zn1 Zn 0.000 0.000 0.500 1
Cu1 Cu 0.000 0.000 0.000 1
Cu2 Cu 0.000 0.500 0.636 1
Cu3 Cu 0.500 0.500 0.000 1
Ge1 Ge 0.000 0.500 0.864 1
Ge2 Ge 0.500 0.500 0.500 1
```

---

(8)
# KHg2Se2

A relaxed structure of KHg2Se2 (PBE-GGA, Alexandria via LeMat-Bulk).

N(E_F): 3.82 states/eV per cell
Uncorrected formation energy: -0.32 eV/atom
Offset from the most stable computed form: 124 meV per atom

CIF file:
```
data_KHg2Se2
_cell_length_a 8.629
_cell_length_b 8.629
_cell_length_c 3.854
_cell_angle_alpha 90.00
_cell_angle_beta 90.00
_cell_angle_gamma 90.00
_space_group_name_H-M_alt 'P 4/m b m'
_space_group_IT_number 127
_space_group_name_Hall '-P 4 2ab'
loop_
_atom_site_label
_atom_site_type_symbol
_atom_site_fract_x
_atom_site_fract_y
_atom_site_fract_z
_atom_site_occupancy
K1 K 0.000 0.000 0.000 1
Hg1 Hg 0.112 0.388 0.000 1
Se1 Se 0.232 0.732 0.500 1
```

---

(9)
# CaH2SeO4

A relaxed structure of CaH2SeO4 (PBE-GGA, Alexandria via LeMat-Bulk).

CIF file:
```
data_CaH2SeO4
_cell_length_a 4.693
_cell_length_b 5.766
_cell_length_c 6.263
_cell_angle_alpha 90.00
_cell_angle_beta 90.00
_cell_angle_gamma 90.00
_space_group_name_H-M_alt 'I 2 2 2'
_space_group_IT_number 23
loop_
_space_group_symop_operation_xyz
'x,y,z'
'-x,-y,z'
'x,-y,-z'
'-x,y,-z'
'x+1/2,y+1/2,z+1/2'
'-x+1/2,-y+1/2,z+1/2'
'x+1/2,-y+1/2,-z+1/2'
'-x+1/2,y+1/2,-z+1/2'
loop_
_atom_site_label
_atom_site_type_symbol
_atom_site_fract_x
_atom_site_fract_y
_atom_site_fract_z
_atom_site_occupancy
Ca1 Ca 0.000 0.000 0.000 1
H1 H 0.000 0.500 0.188 1
Se1 Se 0.000 0.000 0.500 1
O1 O 0.213 0.378 0.801 1
```

---

(10)
# Pr3SmC

A relaxed structure of Pr3SmC (PBE-GGA, Alexandria via LeMat-Bulk).

N(E_F): 6.82 states/eV per cell
E_form: 0.126 eV per atom

CIF file:
```
data_Pr3SmC
_cell_length_a 5.290
_cell_length_b 5.290
_cell_length_c 5.290
_cell_angle_alpha 90.00
_cell_angle_beta 90.00
_cell_angle_gamma 90.00
_space_group_name_H-M_alt 'P m -3 m'
_space_group_IT_number 221
_space_group_name_Hall '-P 4 2 3'
loop_
_atom_site_label
_atom_site_type_symbol
_atom_site_fract_x
_atom_site_fract_y
_atom_site_fract_z
_atom_site_occupancy
Pr1 Pr 0.000 0.000 0.500 1
Sm1 Sm 0.500 0.500 0.500 1
C1 C 0.000 0.000 0.000 1
```

---

(11)
# CsPu2MgBr8

A relaxed structure of CsPu2MgBr8 (PBE-GGA, Alexandria via LeMat-Bulk).

N(E_F): 29.64 states/eV per cell
Uncorrected formation energy: -1.50 eV/atom

CIF file:
```
data_CsPu2MgBr8
_cell_length_a 6.890
_cell_length_b 7.097
_cell_length_c 9.284
_cell_angle_alpha 89.96
_cell_angle_beta 89.95
_cell_angle_gamma 85.92
_space_group_name_H-M_alt 'P -1'
_space_group_IT_number 2
loop_
_space_group_symop_operation_xyz
'x,y,z'
'-x,-y,-z'
loop_
_atom_site_label
_atom_site_type_symbol
_atom_site_fract_x
_atom_site_fract_y
_atom_site_fract_z
_atom_site_occupancy
Cs1 Cs 0.000 0.000 0.000 1
Pu1 Pu 0.500 0.500 0.262 1
Mg1 Mg 0.000 0.000 0.500 1
Br1 Br 0.238 0.843 0.696 1
Br2 Br 0.239 0.843 0.304 1
Br3 Br 0.264 0.340 0.500 1
Br4 Br 0.275 0.396 0.000 1
```

---

(12)
# Li2Th5Sn5

A relaxed structure of Li2Th5Sn5 (PBE-GGA, Alexandria via LeMat-Bulk).

N(E_F): 15.38 states/eV per cell
E_form: -0.473 eV per atom

CIF file:
```
data_Li2Th5Sn5
_cell_length_a 16.440
_cell_length_b 4.672
_cell_length_c 10.960
_cell_angle_alpha 90.00
_cell_angle_beta 128.75
_cell_angle_gamma 90.00
_space_group_name_H-M_alt 'C 1 2/m 1'
_space_group_IT_number 12
loop_
_space_group_symop_operation_xyz
'x,y,z'
'-x,-y,-z'
'-x,y,-z'
'x,-y,z'
'x+1/2,y+1/2,z'
'-x+1/2,-y+1/2,-z'
'-x+1/2,y+1/2,-z'
'x+1/2,-y+1/2,z'
loop_
_atom_site_label
_atom_site_type_symbol
_atom_site_fract_x
_atom_site_fract_y
_atom_site_fract_z
_atom_site_occupancy
Li1 Li 0.147 0.000 0.258 1
Th1 Th 0.000 0.500 0.000 1
Th2 Th 0.102 0.500 0.424 1
Th3 Th 0.193 0.500 0.832 1
Sn1 Sn 0.000 0.000 0.500 1
Sn2 Sn 0.061 0.000 0.859 1
Sn3 Sn 0.248 0.500 0.314 1
```

---

(13)
# Sr3Ni2Rh7

A relaxed structure of Sr3Ni2Rh7 (PBE-GGA, Alexandria via LeMat-Bulk).

N(E_F): 35.59 states/eV per cell
E_form: -0.190 eV per atom

CIF file:
```
data_Sr3Ni2Rh7
_cell_length_a 5.4093
_cell_length_b 5.4093
_cell_length_c 25.7804
_cell_angle_alpha 90.00
_cell_angle_beta 90.00
_cell_angle_gamma 120.00
_space_group_name_H-M_alt 'R -3 m'
_space_group_IT_number 166
_space_group_name_Hall '-R 3 2"'
loop_
_atom_site_label
_atom_site_type_symbol
_atom_site_fract_x
_atom_site_fract_y
_atom_site_fract_z
_atom_site_occupancy
Sr1 Sr 0.0000 0.0000 0.0000 1
Sr2 Sr 0.0000 0.0000 0.1402 1
Ni1 Ni 0.0000 0.0000 0.3323 1
Rh1 Rh 0.0000 0.0000 0.5000 1
Rh2 Rh 0.0035 0.5017 0.0771 1
```

---

(14)
# LuCoSnPd

A relaxed structure of LuCoSnPd (PBE-GGA, Alexandria via LeMat-Bulk).

N(E_F): 13.36 states/eV per cell
E_form: -0.542 eV per atom

CIF file:
```
data_LuCoSnPd
_cell_length_a 6.551
_cell_length_b 6.551
_cell_length_c 6.551
_cell_angle_alpha 90.00
_cell_angle_beta 90.00
_cell_angle_gamma 90.00
_space_group_name_H-M_alt 'F -4 3 m'
_space_group_IT_number 216
_space_group_name_Hall 'F -4 2 3'
loop_
_atom_site_label
_atom_site_type_symbol
_atom_site_fract_x
_atom_site_fract_y
_atom_site_fract_z
_atom_site_occupancy
Lu1 Lu 0.000 0.000 0.000 1
Co1 Co 0.250 0.250 0.250 1
Sn1 Sn 0.000 0.000 0.500 1
Pd1 Pd 0.250 0.250 0.750 1
```

---

(15)
# Li2Hg

A relaxed structure of Li2Hg (PBE-GGA, Alexandria via LeMat-Bulk).

N(E_F): 1.28 states/eV per cell
E_form: -0.283 eV per atom

CIF file:
```
data_Li2Hg
_cell_length_a 4.5514
_cell_length_b 4.5514
_cell_length_c 2.9726
_cell_angle_alpha 90.00
_cell_angle_beta 90.00
_cell_angle_gamma 120.00
_space_group_name_H-M_alt 'P -3 m 1'
_space_group_IT_number 164
_space_group_name_Hall '-P 3 2"'
loop_
_atom_site_label
_atom_site_type_symbol
_atom_site_fract_x
_atom_site_fract_y
_atom_site_fract_z
_atom_site_occupancy
Li1 Li 0.3333 0.6667 0.1121 1
Hg1 Hg 0.0000 0.0000 0.5000 1
```

---

(16)
# Rb4ZrNp3Se8

A relaxed structure of Rb4ZrNp3Se8 (PBE-GGA, Alexandria via LeMat-Bulk).

N(E_F): 98.27 states/eV per cell
Uncorrected formation energy: -1.25 eV/atom

CIF file:
```
data_Rb4ZrNp3Se8
_cell_length_a 8.4087
_cell_length_b 8.4087
_cell_length_c 24.0901
_cell_angle_alpha 90.00
_cell_angle_beta 90.00
_cell_angle_gamma 120.00
_space_group_name_H-M_alt 'R -3 m'
_space_group_IT_number 166
_space_group_name_Hall '-R 3 2"'
loop_
_atom_site_label
_atom_site_type_symbol
_atom_site_fract_x
_atom_site_fract_y
_atom_site_fract_z
_atom_site_occupancy
Rb1 Rb 0.0000 0.0000 0.0000 1
Rb2 Rb 0.0000 0.5000 0.0000 1
Zr1 Zr 0.0000 0.0000 0.5000 1
Np1 Np 0.0000 0.5000 0.5000 1
Se1 Se 0.0000 0.0000 0.2331 1
Se2 Se 0.0128 0.5064 0.2315 1
```

---

DFT total energy (eV/atom)
-5.051; -6.419; -6.818; -5.389; -9.545; -5.445; -4.528; -2.058; -5.167; -5.530; -5.204; -5.551; -5.863; -5.748; -1.660; -6.194